1.
## BeNiMo (GGA-PBE)

Data for a relaxed structure of BeNiMo.

The space group is C2/m (No. 12) and the conventional cell measures 8.6255, 3.0234 and 5.6044 Å, with angles of 90.00, 107.03 and 90.00 degrees. The distinct sites, in fractional coordinates, are Be at (0.0128, 0.0000, 0.2136), Ni at (0.1557, 0.5000, 0.0691) and Mo at (0.1602, 0.5000, 0.5949).

The calculation puts the energy of formation from the pure elements at -120 meV per atom. For the excess energy over the best structure of this formula in the dataset, the calculation gives 139 meV per atom. The calculation puts the total energy at -0.2535 Ha/atom.

2.
## BeNi2Mo (GGA-PBE)

Data for a relaxed structure of BeNi2Mo.

The space group is I-42d (No. 122) and the conventional cell measures 3.4385, 3.4385 and 16.4099 Å, with angles of 90.00, 90.00 and 90.00 degrees. The distinct sites, in fractional coordinates, are Be at (0.0000, 0.0000, 0.0000), Ni at (0.2292, 0.2500, 0.1250) and Mo at (0.0000, 0.0000, 0.5000).

The calculation puts the energy of formation from the pure elements at 276 meV per atom. The calculation puts the total energy at -0.2298 Ha/atom.

3.
## BeNiMo (GGA-PBE)

Data for a relaxed structure of BeNiMo.

The space group is Pnma (No. 62) and the conventional cell measures 5.4485, 3.0109 and 8.6146 Å, with angles of 90.00, 90.00 and 90.00 degrees. The distinct sites, in fractional coordinates, are Be at (0.1346, 0.2500, 0.2348), Ni at (0.1076, 0.2500, 0.6078) and Mo at (0.1395, 0.2500, 0.9224).

The calculation puts the energy of formation from the pure elements at -75 meV per atom. For the excess energy over the best structure of this formula in the dataset, the calculation gives 184 meV per atom. The calculation puts the total energy at -0.2519 Ha/atom.

4.
## BeNiMo (GGA-PBE)

Data for a relaxed structure of BeNiMo.

The space group is P3m1 (No. 156) and the conventional cell measures 2.6414, 2.6414 and 6.0564 Å, with angles of 90.00, 90.00 and 120.00 degrees. The distinct sites, in fractional coordinates, are Be at (0.0000, 0.0000, 0.0000), Ni at (0.3333, 0.6667, 0.7125) and Mo at (0.6667, 0.3333, 0.3533).

The calculation puts the energy of formation from the pure elements at 170 meV per atom. For the excess energy over the best structure of this formula in the dataset, the calculation gives 429 meV per atom. The calculation puts the total energy at -0.2429 Ha/atom.

5.
## BeNi2Mo (GGA-PBE)

Data for a relaxed structure of BeNi2Mo.

The space group is C2/m (No. 12) and the conventional cell measures 5.1635, 7.1059 and 2.5788 Å, with angles of 90.00, 90.31 and 90.00 degrees. The distinct sites, in fractional coordinates, are Be at (0.0000, 0.0000, 0.0000), Ni at (0.2500, 0.2500, 0.5000) and Mo at (0.0000, 0.5000, 0.0000).

The calculation puts the energy of formation from the pure elements at 52 meV per atom. The calculation puts the total energy at -0.2380 Ha/atom.

6.
## BeNiMo (GGA-PBE)

Data for a relaxed structure of BeNiMo.

The space group is Cm (No. 8) and the conventional cell measures 8.8096, 3.3083 and 5.2895 Å, with angles of 90.00, 112.36 and 90.00 degrees. The distinct sites, in fractional coordinates, are Be at (0.0000, 0.0000, 0.0000), Be at (0.1044, 0.5000, 0.8467), Ni at (0.1486, 0.5000, 0.3083), Ni at (0.3155, 0.0000, 0.6563), Mo at (0.3128, 0.0000, 0.1109) and Mo at (0.4800, 0.5000, 0.4854).

The calculation puts the energy of formation from the pure elements at 12 meV per atom. For the excess energy over the best structure of this formula in the dataset, the calculation gives 271 meV per atom. The calculation puts the total energy at -0.2487 Ha/atom.

The records above give, respectively, magnetic moment values of 0.00 0.00 0.00 0.00 0.00 0.00 μB/f.u..